POsC3: relaxed, GGA-PBE.

Summary:
- formation energy (eV per atom) = 2.29
- ρ (Mg/m³) = 6.60
- energy above the lowest structure with this stoichiometry (meV/atom) = 9

abc: 4.0157 4.0157 4.0157
angles: 90.00 90.00 90.00
Each line ends with the local moment (μB).
Sites, in units of the cell vectors:
P  0.5000  0.5000  0.5000  -0.47
C  0.0000  0.5000  0.0000  0.06
C  0.0000  0.0000  0.5000  0.11
C  0.5000  0.0000  0.0000  0.05
Os  0.0000  0.0000  0.0000  -0.39


La2Sm3Hg2: relaxed, GGA-PBE.

Summary:
- formation energy (eV per atom) = -0.22
- ρ (Mg/m³) = 8.57
- energy above the lowest structure with this stoichiometry (meV/atom) = 0

abc: 3.7412 3.6986 15.9383
angles: 90.00 96.74 90.00
Sites, in units of the cell vectors:
La  0.2951  0.5000  0.5902
La  0.7049  0.5000  0.4098
Sm  0.4216  0.5000  0.8432
Sm  0.5784  0.5000  0.1568
Sm  0.0000  0.0000  0.0000
Hg  0.1374  0.0000  0.2747
Hg  0.8626  0.0000  0.7253


Pr5Nd3Er: relaxed, GGA-PBE.

Summary:
- formation energy (eV per atom) = 0.54
- ρ (Mg/m³) = 6.01

abc: 8.2088 8.2088 11.8494
angles: 72.26 72.26 89.83
Sites, in units of the cell vectors:
Pr  0.9661  0.4350  0.3506
Pr  0.2547  0.7453  0.0000
Pr  0.6956  0.6956  0.0939
Pr  0.4711  0.4711  0.3799
Pr  0.5289  0.5289  0.6201
Pr  0.3044  0.3044  0.9061
Pr  0.4350  0.9661  0.3506
Pr  0.7453  0.2547  0.0000
Pr  0.0339  0.5650  0.6494
Pr  0.5650  0.0339  0.6494
Nd  0.6212  0.6212  0.8439
Nd  0.7912  0.7912  0.3494
Nd  0.0000  0.0000  0.0000
Nd  0.0000  0.0000  0.5000
Nd  0.3788  0.3788  0.1561
Nd  0.2088  0.2088  0.6506
Er  0.9096  0.9096  0.7947
Er  0.0904  0.0904  0.2053


VInNiRu: relaxed, GGA-PBE.

Summary:
- formation energy (eV per atom) = -0.03
- ρ (Mg/m³) = 9.17

abc: 4.3686 4.3686 4.3686
angles: 60.00 60.00 60.00
Each line ends with the local moment (μB).
Sites, in units of the cell vectors:
Ru  0.7500  0.7500  0.7500  0.02
V  0.5000  0.5000  0.5000  1.05
Ni  0.2500  0.2500  0.2500  0.59
In  0.0000  0.0000  0.0000  -0.01


Sc2Tc2Hg: relaxed, GGA-PBE.

Summary:
- formation energy (eV per atom) = -0.07
- ρ (Mg/m³) = 8.31

abc: 6.9565 6.9565 4.0188
angles: 90.00 90.00 90.00
Each line ends with the local moment (μB).
Sites, in units of the cell vectors:
Sc  0.1760  0.6760  0.5000  0.04
Sc  0.6760  0.8240  0.5000  0.04
Sc  0.8240  0.3240  0.5000  0.04
Sc  0.3240  0.1760  0.5000  0.04
Hg  0.0000  0.0000  0.0000  0.00
Hg  0.5000  0.5000  0.0000  0.00
Tc  0.3819  0.8819  0.0000  0.27
Tc  0.8819  0.6181  0.0000  0.29
Tc  0.6181  0.1181  0.0000  0.27
Tc  0.1181  0.3819  0.0000  0.29


LaVN3: relaxed, GGA-PBE.

Summary:
- formation energy from raw total energies (eV/atom) = -0.962
- ρ (Mg/m³) = 5.85

abc: 3.6455 5.9547 6.7000
angles: 112.82 91.54 99.49
Sites, in units of the cell vectors:
V  0.5018  0.4882  0.1717
V  0.5681  0.7108  0.6190
La  0.9652  0.3137  0.7163
La  0.1469  0.9367  0.1327
N  0.6019  0.8220  0.3979
N  0.9919  0.3510  0.1089
N  0.4729  0.3872  0.4726
N  0.5557  0.5943  0.9511
N  0.6873  0.1697  0.0259
N  0.0891  0.7786  0.7264


VOsPb2: relaxed, GGA-PBE.

Summary:
- formation energy (eV per atom) = 1.12
- ρ (Mg/m³) = 12.17
- energy above the lowest structure with this stoichiometry (meV/atom) = 378

abc: 7.8545 7.8545 6.2658
angles: 51.19 51.19 90.00
Each line ends with the local moment (μB).
Sites, in units of the cell vectors:
Pb  0.6480  0.1250  0.2500  -0.03
Pb  0.1020  0.6250  0.2500  -0.03
Pb  0.3750  0.3520  0.7500  -0.03
Pb  0.8750  0.8980  0.7500  -0.03
Os  0.0000  0.0000  0.0000  -0.40
Os  0.7500  0.2500  0.5000  -0.40
V  0.5000  0.5000  0.0000  2.28
V  0.2500  0.7500  0.5000  2.28


VCo2Re: relaxed, GGA-PBE.

Summary:
- formation energy (eV per atom) = 0.55
- ρ (Mg/m³) = 11.03
- energy above the lowest structure with this stoichiometry (meV/atom) = 668

abc: 3.5671 3.5671 8.7740
angles: 78.27 78.27 90.00
Each line ends with the local moment (μB).
Sites, in units of the cell vectors:
Re  0.0000  0.0000  0.0000  -0.01
Re  0.7500  0.2500  0.5000  -0.01
Co  0.6154  0.1250  0.2500  0.47
Co  0.1346  0.6250  0.2500  0.47
Co  0.3750  0.3846  0.7500  0.47
Co  0.8750  0.8654  0.7500  0.47
V  0.5000  0.5000  0.0000  0.01
V  0.2500  0.7500  0.5000  0.01


BaHgPt: relaxed, GGA-PBE.

Summary:
- formation energy (eV per atom) = -0.60
- ρ (Mg/m³) = 9.95

abc: 4.8321 4.8321 4.3970
angles: 90.00 90.00 120.00
Sites, in units of the cell vectors:
Hg  0.6667  0.3333  0.4998
Pt  0.3333  0.6667  0.5005
Ba  0.0000  0.0000  0.9997


Li3CrAs: relaxed, GGA-PBE.

Summary:
- formation energy (eV per atom) = 0.71
- ρ (Mg/m³) = 2.32
- energy above the lowest structure with this stoichiometry (meV/atom) = 545

abc: 4.7320 4.7320 4.7320
angles: 90.00 90.00 90.00
Each line ends with the local moment (μB).
Sites, in units of the cell vectors:
Cr  0.0000  0.0000  0.0000  4.26
As  0.5000  0.5000  0.5000  -0.06
Li  0.0000  0.5000  0.0000  0.03
Li  0.0000  0.0000  0.5000  0.02
Li  0.5000  0.0000  0.0000  0.03


MoP2OsS: relaxed, GGA-PBE.

Summary:
- formation energy from raw total energies (eV/atom) = 1.347
- ρ (Mg/m³) = 6.36
- energy above the lowest structure with this stoichiometry (meV/atom) = 283

abc: 4.7116 4.7116 4.4698
angles: 90.00 90.00 90.00
Each line ends with the local moment (μB).
Sites, in units of the cell vectors:
P  0.0000  0.5000  0.0000  -0.09
P  0.5000  0.0000  0.0000  -0.09
Mo  0.0000  0.0000  0.0000  0.25
Os  0.5000  0.5000  0.5000  2.33
S  0.0000  0.0000  0.5000  0.01


NaRe2O: relaxed, GGA-PBE.

Summary:
- formation energy from raw total energies (eV/atom) = 0.926
- ρ (Mg/m³) = 8.46

abc: 4.9454 4.9454 7.4717
angles: 70.67 70.67 90.00
Each line ends with the local moment (μB).
Sites, in units of the cell vectors:
Re  0.3750  0.1250  0.2500  0.96
Re  0.3750  0.6250  0.2500  0.98
Re  0.3750  0.6250  0.7500  0.95
Re  0.8750  0.6250  0.7500  0.98
O  0.5000  0.5000  0.0000  0.06
O  0.2500  0.7500  0.5000  0.06
Na  0.0000  0.0000  0.0000  0.00
Na  0.7500  0.2500  0.5000  0.00


> What is the ρ in the twelfth record?

8.46 Mg/m³


> What is the formula in the fifth record?

Sc2Tc2Hg


> Which formula does entry 5 have?

Sc2Tc2Hg


Repeat the eleventh record exactly.
MoP2OsS: relaxed, GGA-PBE.

Summary:
- formation energy from raw total energies (eV/atom) = 1.347
- ρ (Mg/m³) = 6.36
- energy above the lowest structure with this stoichiometry (meV/atom) = 283

abc: 4.7116 4.7116 4.4698
angles: 90.00 90.00 90.00
Each line ends with the local moment (μB).
Sites, in units of the cell vectors:
P  0.0000  0.5000  0.0000  -0.09
P  0.5000  0.0000  0.0000  -0.09
Mo  0.0000  0.0000  0.0000  0.25
Os  0.5000  0.5000  0.5000  2.33
S  0.0000  0.0000  0.5000  0.01